1.
## Gd2HoSn (GGA-PBE)

Data for crystalline Gd2HoSn at its relaxed geometry.

Output
* energy above the most stable polymorph in this dataset: 167 meV per atom
* formation energy: -0.272 eV/atom

abc: 5.4351 5.4351 5.4351
angles: 60.00 60.00 60.00
With the nearest neighbours (Å) after each atom.
Fractional coordinates of all 4 atoms:
Gd 0.2500 0.2500 0.2500  4 Sn 3.33, 4 Ho 3.33
Gd 0.7500 0.7500 0.7500  4 Sn 3.33, 4 Ho 3.33
Ho 0.0000 0.0000 0.0000  8 Gd 3.33
Sn 0.5000 0.5000 0.5000  8 Gd 3.33

---

2.
## GdHo2Sn (GGA-PBE)

Data for crystalline GdHo2Sn at its relaxed geometry.

Output
* energy above the most stable polymorph in this dataset: 411 meV per atom
* formation energy: -0.017 eV/atom

abc: 11.8134 11.8134 11.8134
angles: 16.92 16.92 16.92
With the nearest neighbours (Å) after each atom.
Fractional coordinates of all 4 atoms:
Gd 0.0000 0.0000 0.0000  2 Ho 3.30, 6 Gd 3.48
Ho 0.0946 0.0946 0.0946  3 Sn 3.22, 1 Gd 3.30, 6 Ho 3.48
Ho 0.9054 0.9054 0.9054  3 Sn 3.22, 1 Gd 3.30, 6 Ho 3.48
Sn 0.5000 0.5000 0.5000  6 Ho 3.22, 6 Sn 3.48

---

3.
## Gd2HoSn (GGA-PBE)

Data for crystalline Gd2HoSn at its relaxed geometry.

Output
* energy above the most stable polymorph in this dataset: 0 meV per atom
* formation energy: -0.439 eV/atom

abc: 4.8145 4.8145 4.8788
angles: 90.00 90.00 90.00
With the nearest neighbours (Å) after each atom.
Fractional coordinates of all 4 atoms:
Gd 0.0000 0.5000 0.0000  4 Gd 3.40, 4 Sn 3.43, 4 Ho 3.43
Gd 0.5000 0.0000 0.0000  4 Gd 3.40, 4 Sn 3.43, 4 Ho 3.43
Ho 0.0000 0.0000 0.5000  4 Sn 3.40, 8 Gd 3.43
Sn 0.5000 0.5000 0.5000  4 Ho 3.40, 8 Gd 3.43

---

4.
## GdHoSn (GGA-PBE)

Data for crystalline GdHoSn at its relaxed geometry.

Output
* energy above the most stable polymorph in this dataset: 71 meV per atom
* formation energy: -0.360 eV/atom

abc: 5.1477 5.1477 3.7783
angles: 90.00 90.00 120.00
With the nearest neighbours (Å) after each atom.
Fractional coordinates of all 3 atoms:
Gd 0.0000 0.0000 0.0000  3 Sn 3.20, 3 Ho 3.42
Ho 0.3333 0.6667 0.4455  3 Sn 3.11, 3 Gd 3.42
Sn 0.6667 0.3333 0.6877  3 Ho 3.11, 3 Gd 3.20

---

5.
## GdHoTlSn (GGA-PBE)

Data for crystalline GdHoTlSn at its relaxed geometry.

Output
* formation energy: -0.470 eV/atom

abc: 5.3679 5.3679 5.3679
angles: 60.00 60.00 60.00
With the nearest neighbours (Å) after each atom.
Fractional coordinates of all 4 atoms:
Gd 0.0000 0.0000 0.0000  4 Tl 3.29, 4 Sn 3.29
Ho 0.5000 0.5000 0.5000  4 Tl 3.29, 4 Sn 3.29
Tl 0.7500 0.7500 0.7500  4 Gd 3.29, 4 Ho 3.29
Sn 0.2500 0.2500 0.2500  4 Gd 3.29, 4 Ho 3.29

---

6.
## GdHoTmSn (GGA-PBE)

Data for crystalline GdHoTmSn at its relaxed geometry.

Output
* formation energy: -0.252 eV/atom

abc: 5.3876 5.3876 5.3876
angles: 60.00 60.00 60.00
With the nearest neighbours (Å) after each atom.
Fractional coordinates of all 4 atoms:
Gd 0.0000 0.0000 0.0000  4 Sn 3.30, 4 Tm 3.30
Ho 0.5000 0.5000 0.5000  4 Sn 3.30, 4 Tm 3.30
Tm 0.2500 0.2500 0.2500  4 Gd 3.30, 4 Ho 3.30
Sn 0.7500 0.7500 0.7500  4 Gd 3.30, 4 Ho 3.30

---

7.
## SrGd2Ho (GGA-PBE)

Data for crystalline SrGd2Ho at its relaxed geometry.

Output
* energy above the most stable polymorph in this dataset: 97 meV per atom
* formation energy: 0.202 eV/atom

abc: 12.9430 12.9430 12.9430
angles: 16.07 16.07 16.07
With the nearest neighbours (Å) after each atom.
Fractional coordinates of all 4 atoms:
Sr 0.0000 0.0000 0.0000  2 Gd 3.56, 6 Sr 3.62
Gd 0.0930 0.0930 0.0930  3 Ho 3.51, 1 Sr 3.56, 6 Gd 3.62
Gd 0.9070 0.9070 0.9070  3 Ho 3.51, 1 Sr 3.56, 6 Gd 3.62
Ho 0.5000 0.5000 0.5000  6 Gd 3.51, 6 Ho 3.62

---

8.
## SrGd2Ho (GGA-PBE)

Data for crystalline SrGd2Ho at its relaxed geometry.

Output
* energy above the most stable polymorph in this dataset: 92 meV per atom
* formation energy: 0.197 eV/atom

abc: 5.2266 5.2266 5.2306
angles: 90.00 90.00 90.00
With the nearest neighbours (Å) after each atom.
Fractional coordinates of all 4 atoms:
Sr 0.0000 0.0000 0.0000  4 Ho 3.70, 8 Gd 3.70
Gd 0.0000 0.5000 0.5000  4 Gd 3.70, 4 Ho 3.70, 4 Sr 3.70
Gd 0.5000 0.0000 0.5000  4 Gd 3.70, 4 Ho 3.70, 4 Sr 3.70
Ho 0.5000 0.5000 0.0000  4 Sr 3.70, 8 Gd 3.70

---

Total DFT energy (no corrections) list, top to bottom, in eV/cell: -37.83 -27.31 -38.50 -23.74 -26.91 -28.14 -33.62 -33.63